A plane-wave DFT calculation with PBE was carried out for crystalline SiRh4Cl at its relaxed geometry.

abc: 5.1908 5.1908 5.1908
angles: 60.00 60.00 60.00
Site moments in Bohr magnetons follow the coordinates.
Fractional coordinates of all 6 atoms:
Si 0.7500 0.7500 0.7500  0.01
Rh 0.8736 0.3755 0.3755  0.59
Rh 0.3755 0.3755 0.8736  0.59
Rh 0.3755 0.8736 0.3755  0.59
Rh 0.3755 0.3755 0.3755  0.59
Cl 0.0000 0.0000 0.0000  0.11

Results
Space-group type = F-43m (216)
Crystal system = cubic
Total magnetic moment = 2.54 μB/f.u.
Electronic total energy = -5.4068 eV/atom